Sc2CdCo2: relaxed, GGA-PBEsol.

Computed properties:
- ΔH_f (0 K): -0.039 eV per atom
- M_tot: 2.08 μB per formula unit
- V: 87.8 Å³/cell
- Space-group type: I4/mmm
- E: -6.015 eV/atom

Unit cell a=8.7491 b=8.7491 c=8.7491 alpha=158.76 beta=158.76 gamma=30.21
Atoms (fractional coordinates):
Sc 0.1246 0.1246 0.0000
Sc 0.8754 0.8754 0.0000
Cd 0.5000 0.5000 0.0000
Co 0.2500 0.7500 0.5000
Co 0.7500 0.2500 0.5000